(1)
Density functional theory data (PBE) for a relaxed structure of HfTlAg.

## Properties
Energy of formation   0.119 eV per atom
Space group   Amm2 (38)

Geometry as extended XYZ:
```
12
Lattice="5.011 0.000 0.000 0.000 3.310 0.000 0.000 0.000 15.637" Properties=species:S:1:pos:R:3 pbc="T T T"
Hf 0.000 0.000 0.000
Hf 0.000 0.000 5.232
Hf 0.000 1.655 7.819
Hf 0.000 1.655 13.051
Tl 2.506 0.000 7.265
Tl 2.506 0.000 12.261
Tl 2.506 1.655 4.442
Tl 2.506 1.655 15.083
Ag 0.000 0.000 10.375
Ag 0.000 1.655 2.556
Ag 2.506 0.000 1.913
Ag 2.506 1.655 9.731
```

=====

(2)
Density functional theory data (PBE) for a relaxed structure of HfTlAg.

## Properties
Energy of formation   0.114 eV per atom
Space group   P1 (1)

Geometry as extended XYZ:
```
6
Lattice="3.299 0.000 0.000 0.008 5.100 0.000 1.647 0.019 7.700" Properties=species:S:1:pos:R:3 pbc="T T T"
Hf 0.000 0.000 0.000
Hf 1.658 5.092 2.510
Tl 1.654 2.548 0.596
Tl 3.297 0.014 5.094
Ag 1.654 2.569 5.674
Ag 3.301 2.546 3.192
```

=====

(3)
Density functional theory data (PBE) for a relaxed structure of HfTlAg.

## Properties
Energy of formation   0.108 eV per atom
Space group   P-1 (2)

Geometry as extended XYZ:
```
6
Lattice="3.274 0.000 0.000 -0.025 6.402 0.000 -1.632 -1.682 6.206" Properties=species:S:1:pos:R:3 pbc="T T T"
Hf 0.002 -0.056 2.088
Hf 1.614 4.776 4.119
Tl -0.010 3.178 1.874
Tl 1.627 1.542 4.332
Ag -0.018 3.295 6.165
Ag 1.635 1.425 0.041
```

=====

(4)
Density functional theory data (PBE) for a relaxed structure of HfTlAg.

## Properties
Energy of formation   0.036 eV per atom
Space group   Cm (8)

Geometry as extended XYZ:
```
12
Lattice="4.595 0.000 0.000 0.000 4.613 0.000 -2.189 0.000 13.095" Properties=species:S:1:pos:R:3 pbc="T T T"
Hf 0.000 0.000 0.000
Hf -0.001 2.307 2.013
Hf 2.298 2.307 0.000
Hf 2.297 0.000 2.013
Tl -0.023 0.000 7.721
Tl 0.127 0.000 10.747
Tl 2.274 2.307 7.721
Tl 2.425 2.307 10.747
Ag -0.001 0.000 3.867
Ag -0.003 2.307 5.610
Ag 2.297 2.307 3.867
Ag 2.295 0.000 5.610
```

=====

(5)
Density functional theory data (PBE) for a relaxed structure of HfTlAg.

## Properties
Energy of formation   0.132 eV per atom
Space group   Pnma (62)

Geometry as extended XYZ:
```
12
Lattice="6.481 0.000 0.000 0.000 4.305 0.000 0.000 0.000 9.075" Properties=species:S:1:pos:R:3 pbc="T T T"
Hf 0.895 1.076 0.762
Hf 2.346 3.228 5.300
Hf 4.135 1.076 3.775
Hf 5.586 3.228 8.313
Tl 0.654 1.076 6.768
Tl 2.587 3.228 2.231
Tl 3.894 1.076 6.845
Tl 5.827 3.228 2.307
Ag 0.880 1.076 3.831
Ag 2.360 3.228 8.369
Ag 4.121 1.076 0.707
Ag 5.601 3.228 5.244
```

=====

(6)
Density functional theory data (PBE) for a relaxed structure of HfTlAg.

## Properties
Energy of formation   0.126 eV per atom
Space group   P-1 (2)

Geometry as extended XYZ:
```
6
Lattice="3.241 0.000 0.000 1.617 5.554 0.000 0.009 2.227 7.187" Properties=species:S:1:pos:R:3 pbc="T T T"
Hf 0.812 1.220 0.293
Hf 4.055 6.562 6.894
Tl 2.436 4.534 5.033
Tl 2.431 3.248 2.154
Ag 0.817 1.962 4.550
Ag 4.050 5.819 2.637
```